1.
{
  "formula": "La3Pr4PuS8",
  "functional": "PBE-GGA",
  "state": "relaxed",
  "formation_energy_uncorrected_kj_per_mol_atoms": -198,
  "dos_at_fermi_per_ev_atom": 0.901,
  "magnetic_moment_mub_per_cell": 5.6,
  "lattice": [[-6.8593, 1.9577, -4.0934], [1.5184, -5.9901, -5.4092], [-0.3525, -1.7023, 8.0384]],
  "species": ["S", "S", "La", "S", "La", "S", "S", "Pr", "S", "S", "Pr", "S", "Pu", "Pr", "Pr", "La"],
  "frac_coords": [[0.7544, 0.2532, 0.9988], [0.7544, 0.2532, 0.5088], [0.5000, 0.5000, 0.0000], [0.2444, 0.2532, 0.9988], [0.0000, 0.5000, 0.5000], [0.7556, 0.7468, 0.0012], [0.2456, 0.7468, 0.0012], [0.0000, 0.0000, 0.0000], [0.2494, 0.2482, 0.4988], [0.7506, 0.7518, 0.5012], [0.5000, 0.0000, 0.5000], [0.2456, 0.7468, 0.4912], [0.0000, 0.5000, 0.0000], [0.5000, 0.0000, 0.0000], [0.0000, 0.0000, 0.5000], [0.5000, 0.5000, 0.5000]]
}

=====

2.
{
  "formula": "SrMgGa2Rh",
  "functional": "PBE-GGA",
  "state": "relaxed",
  "de_polymorph_kj_per_mol_atoms": 0.00,
  "dos_at_fermi_per_ev_atom": 0.754,
  "magnetic_moment_mub_per_cell": 0.0,
  "formation_enthalpy_0k_ev_per_atom": -0.439,
  "lattice": [[4.8543, 0.0000, 0.0000], [0.0000, 4.8543, 0.0000], [0.0000, 0.0000, 4.9470]],
  "species": ["Mg", "Rh", "Sr", "Ga", "Ga"],
  "frac_coords": [[0.0000, 0.0000, 0.5000], [0.0000, 0.0000, 0.0000], [0.5000, 0.5000, 0.5000], [0.5000, 0.0000, 0.0000], [0.0000, 0.5000, 0.0000]]
}

=====

3.
{
  "formula": "Li2PmSnO4",
  "functional": "PBE-GGA",
  "state": "relaxed",
  "formation_energy_uncorrected_kj_per_mol_atoms": -203,
  "dos_at_fermi_per_ev_atom": 0.191,
  "magnetic_moment_mub_per_cell": 0.0,
  "lattice": [[4.5391, 0.0023, 0.0000], [-0.0023, 4.5391, 0.0000], [-2.2685, -2.2707, 5.2531]],
  "species": ["O", "Li", "O", "Li", "Sn", "O", "Pm", "O"],
  "frac_coords": [[0.7344, 0.7345, 0.4691], [0.9997, 0.0003, 0.0000], [0.2655, 0.2656, 0.5309], [0.2502, 0.7498, 0.5000], [0.7500, 0.2500, 0.5000], [0.9697, 0.4694, 0.9395], [0.4999, 0.5001, 0.0000], [0.5306, 0.0303, 0.0605]]
}

=====

4.
{
  "formula": "UNi2H8Pd",
  "functional": "PBE-GGA",
  "state": "relaxed",
  "energy_ev_per_atom": -4.5422,
  "dos_at_fermi_per_ev_atom": 0.582,
  "magnetic_moment_mub_per_cell": 1.8,
  "lattice": [[4.5238, 0.0000, 0.0000], [-2.2619, 3.9178, 0.0000], [0.0000, 0.0000, 6.3354]],
  "species": ["H", "H", "H", "H", "Pd", "H", "U", "H", "H", "H", "Ni", "Ni"],
  "frac_coords": [[0.1631, 0.8369, 0.8153], [0.8369, 0.6739, 0.1847], [0.3333, 0.6667, 0.4206], [0.6739, 0.8369, 0.8153], [0.0000, 0.0000, 0.0000], [0.8369, 0.1631, 0.1847], [0.0000, 0.0000, 0.5000], [0.3261, 0.1631, 0.1847], [0.6667, 0.3333, 0.5794], [0.1631, 0.3261, 0.8153], [0.3333, 0.6667, 0.6657], [0.6667, 0.3333, 0.3343]]
}

=====

5.
{
  "formula": "YWN3",
  "functional": "PBE-GGA",
  "state": "relaxed",
  "formation_energy_uncorrected_kj_per_mol_atoms": -34,
  "dos_at_fermi_per_ev_atom": 0.419,
  "magnetic_moment_mub_per_cell": 0.0,
  "lattice": [[3.4267, -1.9784, 0.0000], [0.0000, 3.9568, 0.0000], [0.0000, 0.0000, 8.3023]],
  "species": ["W", "N", "N", "W", "Y", "N", "N", "N", "N", "Y"],
  "frac_coords": [[0.0000, 0.0000, 0.0000], [0.3333, 0.6667, 0.4656], [0.0000, 0.0000, 0.7500], [0.0000, 0.0000, 0.5000], [0.3333, 0.6667, 0.7500], [0.6667, 0.3333, 0.5344], [0.0000, 0.0000, 0.2500], [0.3333, 0.6667, 0.0344], [0.6667, 0.3333, 0.9656], [0.6667, 0.3333, 0.2500]]
}

=====

6.
{
  "formula": "NaTlN2",
  "functional": "PBE-GGA",
  "state": "relaxed",
  "de_polymorph_kj_per_mol_atoms": 120.66,
  "formation_energy_uncorrected_kj_per_mol_atoms": 123,
  "dos_at_fermi_per_ev_atom": 0.154,
  "magnetic_moment_mub_per_cell": 2.0,
  "lattice": [[-6.2652, 2.4841, 1.9737], [-6.7289, -1.0602, 1.7081], [-5.2458, 0.3373, 4.6569]],
  "species": ["Na", "N", "N", "Tl"],
  "frac_coords": [[0.0000, 0.0000, 0.0000], [0.8885, 0.8885, 0.8885], [0.1115, 0.1115, 0.1115], [0.5000, 0.5000, 0.5000]]
}

=====

7.
{
  "formula": "Ac2HgI",
  "functional": "PBE-GGA",
  "state": "relaxed",
  "de_polymorph_kj_per_mol_atoms": 2.39,
  "formation_energy_uncorrected_kj_per_mol_atoms": -64,
  "dos_at_fermi_per_ev_atom": 1.045,
  "magnetic_moment_mub_per_cell": 0.0,
  "lattice": [[3.9545, 0.0000, 0.0000], [0.0000, 3.9545, 0.0000], [0.0000, 0.0000, 8.9992]],
  "species": ["I", "Ac", "Hg", "Ac"],
  "frac_coords": [[0.5000, 0.5000, 0.5000], [0.0000, 0.0000, 0.2245], [0.5000, 0.5000, 0.0000], [0.0000, 0.0000, 0.7755]]
}

=====

8.
{
  "formula": "SiSnP",
  "functional": "PBE-GGA",
  "state": "relaxed",
  "de_polymorph_kj_per_mol_atoms": 6.92,
  "formation_energy_uncorrected_kj_per_mol_atoms": 3,
  "dos_at_fermi_per_ev_atom": 0.182,
  "magnetic_moment_mub_per_cell": 0.0,
  "lattice": [[3.4704, 0.0041, 0.0027], [-0.0603, 5.9013, 0.0019], [-1.6395, -2.9494, 6.8081]],
  "species": ["Sn", "P", "Si", "Si", "P", "Sn"],
  "frac_coords": [[0.4772, 0.0368, 0.8180], [0.4257, 0.2954, 0.4067], [0.8322, 0.3090, 0.2137], [0.4322, 0.9128, 0.4209], [0.8403, 0.7062, 0.2284], [0.7306, 0.5537, 0.8169]]
}

=====

9.
{
  "formula": "DyTm2Tl3Te6",
  "functional": "PBE-GGA",
  "state": "relaxed",
  "formation_energy_uncorrected_kj_per_mol_atoms": -100,
  "magnetic_moment_mub_per_cell": 0.0,
  "lattice": [[-0.3017, 7.0648, 2.9459], [0.6137, -6.0624, 4.6423], [8.0593, 0.1829, -2.9335]],
  "species": ["Te", "Te", "Dy", "Te", "Te", "Tm", "Te", "Te", "Tl", "Tm", "Tl", "Tl"],
  "frac_coords": [[0.7340, 0.7340, 0.2107], [0.4067, 0.0705, 0.2114], [0.0000, 0.0000, 0.0000], [0.9295, 0.5933, 0.7886], [0.5933, 0.9295, 0.7886], [0.3333, 0.6667, 0.0000], [0.0705, 0.4067, 0.2114], [0.2660, 0.2660, 0.7893], [0.8342, 0.1658, 0.5000], [0.6667, 0.3333, 0.0000], [0.1658, 0.8342, 0.5000], [0.5000, 0.5000, 0.5000]]
}

=====

10.
{
  "formula": "NdYBi",
  "functional": "PBE-GGA",
  "state": "relaxed",
  "dos_at_fermi_per_ev_atom": 1.100,
  "magnetic_moment_mub_per_cell": 0.0,
  "formation_enthalpy_0k_ev_per_atom": -0.316,
  "lattice": [[4.1190, 0.0000, 0.0000], [0.0000, 5.2482, 0.0000], [0.0000, -2.6241, 4.5451]],
  "species": ["Y", "Bi", "Nd"],
  "frac_coords": [[0.7697, 0.3333, 0.6667], [0.9358, 0.0000, 0.0000], [0.2945, 0.6667, 0.3333]]
}

=====

11.
{
  "formula": "CaZrAu4",
  "functional": "PBE-GGA",
  "state": "relaxed",
  "de_polymorph_kj_per_mol_atoms": 0.00,
  "dos_at_fermi_per_ev_atom": 0.465,
  "magnetic_moment_mub_per_cell": 0.0,
  "formation_enthalpy_0k_ev_per_atom": -0.597,
  "lattice": [[-1.7639, 2.1916, 2.3509], [0.5582, -2.4326, 2.6852], [7.8041, 4.0682, 2.0644]],
  "species": ["Zr", "Ca", "Au", "Au", "Au", "Au"],
  "frac_coords": [[0.5000, 0.0000, 0.0000], [0.0000, 0.5000, 0.5000], [0.0002, 0.5002, 0.8412], [0.9998, 0.4998, 0.1588], [0.4999, 0.9999, 0.3260], [0.5001, 0.0001, 0.6740]]
}

=====

12.
{
  "formula": "ScMnZn",
  "functional": "PBE-GGA",
  "state": "relaxed",
  "dos_at_fermi_per_ev_atom": 1.421,
  "magnetic_moment_mub_per_cell": 3.3,
  "formation_enthalpy_0k_ev_per_atom": 0.276,
  "lattice": [[4.3924, 0.0000, 0.0000], [2.1962, 3.8040, 0.0000], [2.1962, 1.2680, 3.5864]],
  "species": ["Sc", "Mn", "Zn"],
  "frac_coords": [[0.5000, 0.5000, 0.5000], [0.0000, 0.0000, 0.0000], [0.2500, 0.2500, 0.2500]]
}